# 1
A geometry-optimized LiLu2Mg structure, computed with PBE-GGA.

Cell lengths 3.3271, 3.3271, 11.7637 Å; angles 81.87, 81.87, 60.00 degrees
Fractional positions:
Mg1 0.5000 0.5000 0.5000
Lu1 0.0903 0.0903 0.7291
Lu2 0.9097 0.9097 0.2709
Li1 0.0000 0.0000 0.0000

Computed properties:
Space-group type: No. 166

=====

# 2
A geometry-optimized LiLuMgMn structure, computed with PBE-GGA.

Cell lengths 4.8538, 4.8538, 4.8538 Å; angles 60.00, 60.00, 60.00 degrees
Site moments in Bohr magnetons follow the coordinates.
Fractional positions:
Mg1 0.2500 0.2500 0.2500  -0.02
Lu1 0.7500 0.7500 0.7500  -0.09
Mn1 0.5000 0.5000 0.5000  3.52
Li1 0.0000 0.0000 0.0000  -0.05

Computed properties:
Space-group type: No. 216

=====

# 3
A geometry-optimized LiNdLuMg structure, computed with PBE-GGA.

Cell lengths 5.3461, 5.3461, 5.3461 Å; angles 60.00, 60.00, 60.00 degrees
Fractional positions:
Mg1 0.5000 0.5000 0.5000
Lu1 0.2500 0.2500 0.2500
Nd1 0.7500 0.7500 0.7500
Li1 0.0000 0.0000 0.0000

Computed properties:
Space-group type: No. 216

=====

# 4
A geometry-optimized LiLuMgNi structure, computed with PBE-GGA.

Cell lengths 4.6582, 4.6582, 4.6582 Å; angles 60.00, 60.00, 60.00 degrees
Fractional positions:
Ni1 0.5000 0.5000 0.5000
Mg1 0.7500 0.7500 0.7500
Lu1 0.2500 0.2500 0.2500
Li1 0.0000 0.0000 0.0000

Computed properties:
Space-group type: No. 216

=====

# 5
A geometry-optimized LiLuMgOs structure, computed with PBE-GGA.

Cell lengths 4.6748, 4.6748, 4.6748 Å; angles 60.00, 60.00, 60.00 degrees
Fractional positions:
Mg1 0.7500 0.7500 0.7500
Lu1 0.2500 0.2500 0.2500
Os1 0.5000 0.5000 0.5000
Li1 0.0000 0.0000 0.0000

Computed properties:
Space-group type: No. 216

=====

# 6
A geometry-optimized LiLuMgPd structure, computed with PBE-GGA.

Cell lengths 4.7675, 4.7675, 4.7675 Å; angles 60.00, 60.00, 60.00 degrees
Fractional positions:
Mg1 0.7500 0.7500 0.7500
Lu1 0.2500 0.2500 0.2500
Pd1 0.0000 0.0000 0.0000
Li1 0.5000 0.5000 0.5000

Computed properties:
Space-group type: No. 216

=====

# 7
A geometry-optimized LiLuMgPt structure, computed with PBE-GGA.

Cell lengths 4.7214, 4.7214, 4.7214 Å; angles 60.00, 60.00, 60.00 degrees
Fractional positions:
Mg1 0.7500 0.7500 0.7500
Lu1 0.2500 0.2500 0.2500
Pt1 0.0000 0.0000 0.0000
Li1 0.5000 0.5000 0.5000

Computed properties:
Space-group type: No. 216

=====

# 8
A geometry-optimized LiLuMgSn structure, computed with PBE-GGA.

Cell lengths 5.0510, 5.0510, 5.0510 Å; angles 60.00, 60.00, 60.00 degrees
Fractional positions:
Mg1 0.7500 0.7500 0.7500
Lu1 0.0000 0.0000 0.0000
Sn1 0.2500 0.2500 0.2500
Li1 0.5000 0.5000 0.5000

Computed properties:
Space-group type: No. 216

=====

# 9
A geometry-optimized LiLuThMg structure, computed with PBE-GGA.

Cell lengths 5.2926, 5.2926, 5.2926 Å; angles 60.00, 60.00, 60.00 degrees
Fractional positions:
Mg1 0.5000 0.5000 0.5000
Lu1 0.7500 0.7500 0.7500
Th1 0.2500 0.2500 0.2500
Li1 0.0000 0.0000 0.0000

Computed properties:
Space-group type: No. 216

=====

# 10
A geometry-optimized LiLuMgTl structure, computed with PBE-GGA.

Cell lengths 5.0724, 5.0724, 5.0724 Å; angles 60.00, 60.00, 60.00 degrees
Fractional positions:
Tl1 0.2500 0.2500 0.2500
Lu1 0.5000 0.5000 0.5000
Mg1 0.7500 0.7500 0.7500
Li1 0.0000 0.0000 0.0000

Computed properties:
Space-group type: No. 216

=====

# 11
A geometry-optimized LiYLuMg structure, computed with PBE-GGA.

Cell lengths 5.2813, 5.2813, 5.2813 Å; angles 60.00, 60.00, 60.00 degrees
Fractional positions:
Y1 0.7500 0.7500 0.7500
Mg1 0.0000 0.0000 0.0000
Lu1 0.2500 0.2500 0.2500
Li1 0.5000 0.5000 0.5000

Computed properties:
Space-group type: No. 216

=====

# 12
A geometry-optimized LiLuMgZn structure, computed with PBE-GGA.

Cell lengths 4.8074, 4.8074, 4.8074 Å; angles 60.00, 60.00, 60.00 degrees
Fractional positions:
Zn1 0.7500 0.7500 0.7500
Lu1 0.5000 0.5000 0.5000
Mg1 0.0000 0.0000 0.0000
Li1 0.2500 0.2500 0.2500

Computed properties:
Space-group type: No. 216

=====

# 13
A geometry-optimized LiNdLuMn structure, computed with PBE-GGA.

Cell lengths 5.0645, 5.0645, 5.0645 Å; angles 60.00, 60.00, 60.00 degrees
Site moments in Bohr magnetons follow the coordinates.
Fractional positions:
Lu1 0.5000 0.5000 0.5000  -0.28
Nd1 0.0000 0.0000 0.0000  -0.22
Mn1 0.2500 0.2500 0.2500  3.23
Li1 0.7500 0.7500 0.7500  -0.07

Computed properties:
Space-group type: No. 216

=====

# 14
A geometry-optimized LiLuMnNi structure, computed with PBE-GGA.

Cell lengths 4.4955, 4.4955, 4.4955 Å; angles 60.00, 60.00, 60.00 degrees
Site moments in Bohr magnetons follow the coordinates.
Fractional positions:
Ni1 0.2500 0.2500 0.2500  -0.47
Lu1 0.0000 0.0000 0.0000  0.21
Mn1 0.5000 0.5000 0.5000  -3.67
Li1 0.7500 0.7500 0.7500  0.03

Computed properties:
Space-group type: No. 216

=====

# 15
A geometry-optimized LiLuMnPt structure, computed with PBE-GGA.

Cell lengths 4.6244, 4.6244, 4.6244 Å; angles 60.00, 60.00, 60.00 degrees
Site moments in Bohr magnetons follow the coordinates.
Fractional positions:
Mn1 0.5000 0.5000 0.5000  -3.83
Lu1 0.0000 0.0000 0.0000  0.16
Pt1 0.7500 0.7500 0.7500  -0.17
Li1 0.2500 0.2500 0.2500  0.03

Computed properties:
Space-group type: No. 216

=====

# 16
A geometry-optimized LiLuScMn structure, computed with PBE-GGA.

Cell lengths 4.8045, 4.8045, 4.8045 Å; angles 60.00, 60.00, 60.00 degrees
Site moments in Bohr magnetons follow the coordinates.
Fractional positions:
Sc1 0.2500 0.2500 0.2500  -0.26
Lu1 0.7500 0.7500 0.7500  -0.14
Mn1 0.5000 0.5000 0.5000  2.93
Li1 0.0000 0.0000 0.0000  -0.07

Computed properties:
Space-group type: No. 216

=====

# 17
A geometry-optimized LiLuMnSn structure, computed with PBE-GGA.

Cell lengths 4.7141, 4.7141, 4.7141 Å; angles 60.00, 60.00, 60.00 degrees
Site moments in Bohr magnetons follow the coordinates.
Fractional positions:
Lu1 0.7500 0.7500 0.7500  -0.04
Sn1 0.2500 0.2500 0.2500  -0.04
Mn1 0.0000 0.0000 0.0000  2.98
Li1 0.5000 0.5000 0.5000  -0.04

Computed properties:
Space-group type: No. 216

=====

# 18
A geometry-optimized LiLuThMn structure, computed with PBE-GGA.

Cell lengths 4.9419, 4.9419, 4.9419 Å; angles 60.00, 60.00, 60.00 degrees
Site moments in Bohr magnetons follow the coordinates.
Fractional positions:
Mn1 0.5000 0.5000 0.5000  2.18
Lu1 0.2500 0.2500 0.2500  -0.31
Th1 0.7500 0.7500 0.7500  -0.27
Li1 0.0000 0.0000 0.0000  -0.05

Computed properties:
Space-group type: No. 216

=====

# 19
A geometry-optimized LiTmLuMn structure, computed with PBE-GGA.

Cell lengths 4.9210, 4.9210, 4.9210 Å; angles 60.00, 60.00, 60.00 degrees
Site moments in Bohr magnetons follow the coordinates.
Fractional positions:
Lu1 0.5000 0.5000 0.5000  -0.19
Tm1 0.0000 0.0000 0.0000  -0.21
Mn1 0.2500 0.2500 0.2500  2.97
Li1 0.7500 0.7500 0.7500  -0.07

Computed properties:
Space-group type: No. 216

=====

# 20
A geometry-optimized LiLuMoOs structure, computed with PBE-GGA.

Cell lengths 4.5537, 4.5537, 4.5537 Å; angles 60.00, 60.00, 60.00 degrees
Fractional positions:
Mo1 0.0000 0.0000 0.0000
Lu1 0.5000 0.5000 0.5000
Os1 0.2500 0.2500 0.2500
Li1 0.7500 0.7500 0.7500

Computed properties:
Space-group type: No. 216

=====

| no. | raw total energy (eV per cell) |
| --- | --- |
| 1 | -11.7 |
| 2 | -16.5 |
| 3 | -12.6 |
| 4 | -14.4 |
| 5 | -19.6 |
| 6 | -15.0 |
| 7 | -16.8 |
| 8 | -13.2 |
| 9 | -14.9 |
| 10 | -11.0 |
| 11 | -14.3 |
| 12 | -10.0 |
| 13 | -19.8 |
| 14 | -21.5 |
| 15 | -23.6 |
| 16 | -21.5 |
| 17 | -20.3 |
| 18 | -22.6 |
| 19 | -19.7 |
| 20 | -28.4 |